# CdTcRu4

A geometry-optimized CdTcRu4 structure (GGA-PBE, Alexandria via LeMat-Bulk).

Unit cell a=5.1030 b=5.1030 c=5.1030 alpha=60.00 beta=60.00 gamma=60.00
Closest atoms and distances in Å follow each position.
Fractional coordinates of all 6 atoms:
Cd  0.0000  0.0000  0.0000  12 Ru 2.99, 4 Tc 3.12
Tc  0.7500  0.7500  0.7500  12 Ru 2.99, 4 Cd 3.12
Ru  0.8748  0.3751  0.3751  6 Ru 2.55
Ru  0.3751  0.3751  0.8748  6 Ru 2.55
Ru  0.3751  0.8748  0.3751  6 Ru 2.55
Ru  0.3751  0.3751  0.3751  6 Ru 2.55

- DFT formation energy: 3.089 eV/f.u.



# FeTcBr2

A geometry-optimized FeTcBr2 structure (GGA-PBE, Alexandria via LeMat-Bulk).

Unit cell a=3.1457 b=6.0932 c=4.2686 alpha=90.00 beta=90.00 gamma=90.00
Closest atoms and distances in Å follow each position.
Fractional coordinates of all 4 atoms:
Br  0.0000  0.0000  0.0000  4 Fe 2.65
Br  0.5000  0.5000  0.0000  4 Tc 2.65
Fe  0.5000  0.0000  0.5000  4 Br 2.65
Tc  0.0000  0.5000  0.5000  4 Br 2.65

- ΔE to the lowest computed polymorph: 0.7082 eV/atom
- ΔE_f (raw): 0.862 eV/atom



# KZn2GeAu4

A geometry-optimized KZn2GeAu4 structure (GGA-PBE, Alexandria via LeMat-Bulk).

Unit cell a=4.4501 b=4.4501 c=10.6935 alpha=77.99 beta=77.99 gamma=60.00
Closest atoms and distances in Å follow each position.
Fractional coordinates of all 8 atoms:
K  0.0000  0.0000  0.0000  6 Au 3.55, 6 Zn 3.75
Zn  0.7543  0.7543  0.7372  3 Au 2.58
Zn  0.2457  0.2457  0.2628  3 Au 2.58
Ge  0.5000  0.5000  0.5000  8 Au 2.75-2.78
Au  0.4118  0.4118  0.7645  3 Zn 2.58, 1 Ge 2.75
Au  0.8678  0.8678  0.3967  3 Ge 2.78, 3 Zn 2.92, 3 Au 3.07
Au  0.1322  0.1322  0.6033  3 Ge 2.78, 3 Zn 2.92, 3 Au 3.07
Au  0.5882  0.5882  0.2355  3 Zn 2.58, 1 Ge 2.75

- DFT formation energy: -0.705 eV/f.u.



# YAl2Pd

A geometry-optimized YAl2Pd structure (GGA-PBE, Alexandria via LeMat-Bulk).

Unit cell a=4.7067 b=4.7067 c=4.7067 alpha=60.00 beta=60.00 gamma=60.00
Closest atoms and distances in Å follow each position.
Fractional coordinates of all 4 atoms:
Y  0.0000  0.0000  0.0000  8 Al 2.88
Al  0.2500  0.2500  0.2500  4 Pd 2.88, 4 Y 2.88
Al  0.7500  0.7500  0.7500  4 Pd 2.88, 4 Y 2.88
Pd  0.5000  0.5000  0.5000  8 Al 2.88

- DFT formation energy: -1.965 eV/f.u.



# K2SiAu

A geometry-optimized K2SiAu structure (GGA-PBE, Alexandria via LeMat-Bulk).

Unit cell a=3.3623 b=3.3623 c=9.9094 alpha=90.00 beta=90.00 gamma=90.00
Closest atoms and distances in Å follow each position.
Fractional coordinates of all 4 atoms:
Au  0.5000  0.5000  0.7500  8 K 3.36, 4 Au 3.36
K  0.0000  0.0000  0.9899  4 Au 3.36, 4 K 3.36, 4 Si 3.51
K  0.0000  0.0000  0.5101  4 Au 3.36, 4 K 3.36, 4 Si 3.51
Si  0.5000  0.5000  0.2500  4 Si 3.36, 8 K 3.51

- ΔE_f (raw): 0.240 eV/atom



# Y2GaGe3Pd4

A geometry-optimized Y2GaGe3Pd4 structure (GGA-PBE, Alexandria via LeMat-Bulk).

Unit cell a=4.2475 b=4.2475 c=10.3454 alpha=90.00 beta=90.00 gamma=90.00
Closest atoms and distances in Å follow each position.
Fractional coordinates of all 10 atoms:
Y  0.5000  0.0000  0.2508  8 Pd 3.23-3.35, 6 Ge 3.25-3.34, 2 Ga 3.34
Y  0.0000  0.5000  0.7492  8 Pd 3.23-3.35, 6 Ge 3.25-3.34, 2 Ga 3.34
Ga  0.5000  0.5000  0.5000  4 Pd 2.53
Ge  0.0000  0.0000  0.5000  4 Pd 2.53
Ge  0.5000  0.0000  0.8685  5 Pd 2.43-2.52
Ge  0.0000  0.5000  0.1315  5 Pd 2.43-2.52
Pd  0.5000  0.5000  0.0000  4 Ge 2.52
Pd  0.0000  0.0000  0.0000  4 Ge 2.52
Pd  0.5000  0.0000  0.6337  3 Ge 2.43-2.53, 2 Ga 2.53
Pd  0.0000  0.5000  0.3663  3 Ge 2.43-2.53, 2 Ga 2.53

- DFT formation energy: -8.024 eV/f.u.



# Tb4Dy3Ir4

A geometry-optimized Tb4Dy3Ir4 structure (GGA-PBE, Alexandria via LeMat-Bulk).

Unit cell a=3.8232 b=8.6658 c=9.3133 alpha=117.73 beta=101.84 gamma=90.00
Closest atoms and distances in Å follow each position.
Fractional coordinates of all 11 atoms:
Tb  0.3334  0.1437  0.6668  4 Ir 2.80-2.99
Tb  0.6666  0.4770  0.3332  4 Ir 2.80-2.99
Tb  0.6666  0.8563  0.3332  4 Ir 2.80-2.99
Tb  0.3334  0.5230  0.6668  4 Ir 2.80-2.99
Dy  0.0998  0.0998  0.1995  6 Ir 3.05-3.11, 1 Dy 3.20
Dy  0.9002  0.9002  0.8005  6 Ir 3.05-3.11, 1 Dy 3.20
Dy  0.0000  0.5000  0.0000  4 Ir 3.13
Ir  0.2517  0.7517  0.5034  6 Tb 2.87-2.99, 2 Dy 3.05
Ir  0.7483  0.2483  0.4966  6 Tb 2.87-2.99, 2 Dy 3.05
Ir  0.5000  0.7858  0.0000  2 Tb 2.80, 6 Dy 3.11-3.13
Ir  0.5000  0.2142  0.0000  2 Tb 2.80, 6 Dy 3.11-3.13

- DFT formation energy: -7.153 eV/f.u.



# Tb4Pm8Tm3

A geometry-optimized Tb4Pm8Tm3 structure (GGA-PBE, Alexandria via LeMat-Bulk).

Unit cell a=6.8663 b=9.1699 c=9.1699 alpha=82.91 beta=110.86 gamma=110.86
Closest atoms and distances in Å follow each position.
Fractional coordinates of all 15 atoms:
Tb  0.5000  0.0000  0.0000  2 Pm 3.01
Tb  0.0000  0.5000  0.0000  2 Tm 3.43, 8 Pm 3.43-3.65
Tb  0.0000  0.0000  0.0000  2 Pm 2.99
Tb  0.0000  0.0000  0.5000  2 Tm 3.43, 8 Pm 3.43-3.65
Pm  0.2906  0.2454  0.2454  1 Tb 2.99, 3 Tm 3.09-3.35
Pm  0.0000  0.7034  0.2966  4 Pm 3.48, 3 Tb 3.48-3.60, 2 Tm 3.56
Pm  0.8278  0.2980  0.2980  4 Pm 3.41-3.58, 3 Tb 3.43-3.62, 2 Tm 3.65
Pm  0.5000  0.7525  0.2475  1 Tb 3.01, 1 Tm 3.07
Pm  0.5000  0.2475  0.7525  1 Tb 3.01, 1 Tm 3.07
Pm  0.1722  0.7020  0.7020  4 Pm 3.41-3.58, 3 Tb 3.43-3.62, 2 Tm 3.65
Pm  0.0000  0.2966  0.7034  4 Pm 3.48, 3 Tb 3.48-3.60, 2 Tm 3.56
Pm  0.7094  0.7546  0.7546  1 Tb 2.99, 3 Tm 3.09-3.35
Tm  0.5000  0.5000  0.0000  8 Pm 3.35-3.65, 2 Tb 3.43
Tm  0.5000  0.0000  0.5000  8 Pm 3.35-3.65, 2 Tb 3.43
Tm  0.5000  0.5000  0.5000  4 Pm 3.07-3.09

- DFT formation energy: 5.144 eV/f.u.



Going through the records in order, we get DOS(E_F) values of 9.2, 2.5, 3.5, 3.4, 1.8, 6.0, 7.2, 23.5 states/eV per cell.
Going through the records in order, we get DFT total energy values of -0.555, -0.344, -0.203, -0.388, -0.183, -0.431, -0.501, -0.317 Ry per atom.
Going through the records in order, we get M_tot values of 0.000, 1.520, 0.000, 0.000, 0.000, 0.000, 0.000, 0.000 μB/atom.